No. 1
GaAg2F5: relaxed, PBE.

Structure (POSCAR):
```
GaAg2F5
1.0
5.526 -2.850 0.000
5.526 2.850 0.000
-2.798 0.000 7.320
Ga Ag F
2 4 10
Cartesian
0.000 0.000 0.000
-1.399 0.000 3.660
2.000 0.027 4.945
3.399 -0.027 1.285
4.855 0.027 6.036
6.254 -0.027 2.375
3.427 2.777 5.490
2.862 1.518 3.142
1.465 1.493 6.874
6.791 1.518 0.518
5.390 1.493 4.106
2.864 -1.493 3.214
1.463 -1.518 6.802
6.789 -1.493 0.446
5.392 -1.518 4.178
4.826 -2.777 1.830
```

Raw formation energy: -177.68 kJ per mole of atoms
DFT total energy: -0.3015 Ry/atom
SG: No. 15

***

No. 2
La2Sm3Dy6: relaxed, PBE.

Structure (POSCAR):
```
La2Sm3Dy6
1.0
3.109 -5.318 0.000
3.109 5.318 0.000
-1.805 0.000 11.628
La Sm Dy
2 3 6
Cartesian
3.109 3.462 0.000
3.109 -3.462 0.000
-0.903 0.000 5.814
2.206 1.744 5.814
2.206 -1.744 5.814
0.155 1.774 8.675
1.157 0.000 2.915
0.155 -1.774 8.675
4.257 1.774 2.953
3.255 0.000 8.713
4.257 -1.774 2.953
```

DFT total energy: -0.3317 Ry/atom
SG: No. 12
E_form: 17.4 kJ/mol of atoms

***

No. 3
Sm4HgS3: relaxed, PBE.

Structure (POSCAR):
```
Sm4HgS3
1.0
4.156 -5.822 0.000
4.156 5.822 0.000
0.000 0.000 4.052
Sm Hg S
4 1 3
Cartesian
1.938 0.000 2.026
4.156 3.000 0.000
4.156 -3.000 0.000
6.374 0.000 2.026
4.156 0.000 0.000
0.000 0.000 0.000
2.078 2.911 2.026
2.078 -2.911 2.026
```

Raw formation energy: -152.60 kJ per mole of atoms
DFT total energy: -0.4062 Ry/atom
SG: No. 65

***

No. 4
SbIrN3: relaxed, PBE.

Structure (POSCAR):
```
SbIrN3
1.0
3.923 0.000 0.000
0.000 3.923 0.000
0.000 0.000 3.923
Sb Ir N
1 1 3
Cartesian
0.000 0.000 0.000
1.961 1.961 1.961
0.000 1.961 1.961
1.961 0.000 1.961
1.961 1.961 0.000
```

Raw formation energy: 124.69 kJ per mole of atoms
DFT total energy: -0.4630 Ry/atom
SG: No. 221

***

no.,ρ (g/cm³)
1,5.480
2,7.360
3,7.606
4,9.793